# CsZnHg2Pd (PBE, relaxed)
# DOS(E_F) = 1.690 states/eV/f.u.
# DFT formation energy = -0.222 eV per atom
data_CsZnHg2Pd
_chemical_formula_sum 'Cs1 Zn1 Hg2 Pd1'
_cell_length_a 5.4879
_cell_length_b 5.4879
_cell_length_c 5.0569
_cell_angle_alpha 90.00
_cell_angle_beta 90.00
_cell_angle_gamma 90.00
_symmetry_space_group_name_H-M 'P 4/m m m'
_symmetry_Int_Tables_number 123
_symmetry_space_group_name_Hall '-P 4 2'
loop_
_atom_site_label
_atom_site_fract_x
_atom_site_fract_y
_atom_site_fract_z
Cs1 0.0000 0.0000 0.0000
Zn1 0.5000 0.5000 0.0000
Hg1 0.0000 0.5000 0.5000
Pd1 0.5000 0.5000 0.5000